{
  "formula": "Ac2GeSb3Pd4",
  "functional": "GGA-PBE",
  "state": "relaxed",
  "vol_a3_per_atom": 23.25,
  "energy_ev_per_atom": -5.4814,
  "raw_formation_energy_ev_per_atom": -0.884,
  "sg": "P-4m2",
  "lattice": [[4.681, 0.000, 0.000], [0.000, 4.681, 0.000], [0.000, 0.000, 10.610]],
  "species": ["Ac", "Ac", "Ge", "Sb", "Sb", "Sb", "Pd", "Pd", "Pd", "Pd"],
  "fractional_positions": [[0.000, 0.500, 0.249], [0.500, 0.000, 0.751], [0.000, 0.000, 0.500], [0.000, 0.500, 0.869], [0.500, 0.000, 0.131], [0.500, 0.500, 0.500], [0.000, 0.000, 0.000], [0.000, 0.500, 0.619], [0.500, 0.000, 0.381], [0.500, 0.500, 0.000]]
}